No. 1
First-principles (PBE) data for a geometry-optimized Ac2GaCuPd6 structure, as listed in Alexandria.

Results
DFT total energy	-52.12	eV per formula unit
ΔH_f (0 K)	-0.56	eV/atom
magnetization	0.00	μB per formula unit
theoretical density	9.19	Mg/m³

Lattice parameters (Å, degrees): 5.8771 5.8771 22.2156 90.00 90.00 120.00
Space group R-3m (No. 166, hexagonal axes)
One atom of each set of equivalent atoms:
Ac (0.0000, 0.0000, 0.2174)
Ga (0.0000, 0.0000, 0.0000)
Cu (0.0000, 0.0000, 0.5000)
Pd (0.0056, 0.5028, 0.2532)



No. 2
First-principles (PBE) data for a geometry-optimized Ac2GaCu2Pd5 structure, as listed in Alexandria.

Results
DFT total energy	-51.26	eV per formula unit
ΔH_f (0 K)	-0.59	eV/atom
magnetization	0.00	μB per formula unit
theoretical density	10.33	Mg/m³

Lattice parameters (Å, degrees): 9.903 9.903 3.879 90.00 90.00 90.00
Space group P4/mbm (No. 127)
One atom of each set of equivalent atoms:
Ac (0.178, 0.322, 0.000)
Ga (0.000, 0.000, 0.000)
Cu (0.121, 0.621, 0.000)
Pd (0.000, 0.500, 0.500)
Pd (0.060, 0.797, 0.500)



No. 3
First-principles (PBE) data for a geometry-optimized Ac2Ga3CuPd4 structure, as listed in Alexandria.

Results
DFT total energy	-49.51	eV per formula unit
ΔH_f (0 K)	-0.73	eV/atom
magnetization	0.00	μB per formula unit
theoretical density	9.25	Mg/m³

Lattice parameters (Å, degrees): 4.473 4.473 10.335 90.00 90.00 90.00
Space group P-4m2 (No. 115)
One atom of each set of equivalent atoms:
Ac (0.000, 0.500, 0.246)
Ga (0.000, 0.000, 0.000)
Ga (0.000, 0.500, 0.621)
Cu (0.500, 0.500, 0.000)
Pd (0.000, 0.000, 0.500)
Pd (0.000, 0.500, 0.870)
Pd (0.500, 0.500, 0.500)



No. 4
First-principles (PBE) data for a geometry-optimized AcGaCuPd structure, as listed in Alexandria.

Results
DFT total energy	-18.65	eV per formula unit
ΔH_f (0 K)	-0.56	eV/atom
magnetization	0.00	μB per formula unit
theoretical density	8.80	Mg/m³
excess energy over the best structure of this formula in the dataset	0.0000	eV per atom

Lattice parameters (Å, degrees): 7.632 4.406 5.810 90.00 115.64 90.00
Space group Cm (No. 8)
One atom of each set of equivalent atoms:
Ac (0.000, 0.000, 0.000)
Ga (0.495, 0.000, 0.485)
Cu (0.301, 0.500, 0.402)
Pd (0.200, 0.000, 0.603)



No. 5
First-principles (PBE) data for a geometry-optimized AcGaCuPd2 structure, as listed in Alexandria.

Results
DFT total energy	-23.82	eV per formula unit
ΔH_f (0 K)	-0.44	eV/atom
magnetization	0.00	μB per formula unit
theoretical density	9.05	Mg/m³

Lattice parameters (Å, degrees): 5.553 12.955 5.847 90.00 90.00 90.00
Space group Cmme (No. 67)
One atom of each set of equivalent atoms:
Ac (0.000, 0.250, 0.229)
Ga (0.250, 0.000, 0.500)
Cu (0.000, 0.000, 0.000)
Pd (0.000, 0.142, 0.704)



No. 6
First-principles (PBE) data for a geometry-optimized AcGaCuPd3 structure, as listed in Alexandria.

Results
DFT total energy	-29.65	eV per formula unit
ΔH_f (0 K)	-0.47	eV/atom
magnetization	0.00	μB per formula unit
theoretical density	9.33	Mg/m³

Lattice parameters (Å, degrees): 6.664 12.075 6.014 90.00 90.00 90.00
Space group Cmcm (No. 63)
One atom of each set of equivalent atoms:
Ac (0.000, 0.214, 0.250)
Ga (0.000, 0.125, 0.750)
Cu (0.000, 0.454, 0.250)
Pd (0.000, 0.331, 0.750)
Pd (0.212, 0.000, 0.000)



No. 7
First-principles (PBE) data for a geometry-optimized Ac2Ga3Cu12Pd structure, as listed in Alexandria.

Results
DFT total energy	-70.93	eV per formula unit
ΔH_f (0 K)	0.04	eV/atom
magnetization	0.00	μB per formula unit
theoretical density	8.08	Mg/m³

Lattice parameters (Å, degrees): 6.2888 6.2888 27.5944 90.00 90.00 120.00
Space group R-3m (No. 166, hexagonal axes)
One atom of each set of equivalent atoms:
Ac (0.0000, 0.0000, 0.1521)
Ga (0.0000, 0.5000, 0.0000)
Cu (0.0591, 0.5296, 0.0917)
Cu (0.0763, 0.5381, 0.6194)
Pd (0.0000, 0.0000, 0.5000)



No. 8
First-principles (PBE) data for a geometry-optimized AcGa4CuPd2 structure, as listed in Alexandria.

Results
DFT total energy	-34.83	eV per formula unit
ΔH_f (0 K)	-0.52	eV/atom
magnetization	0.00	μB per formula unit
theoretical density	8.60	Mg/m³

Lattice parameters (Å, degrees): 4.3443 4.3443 27.7134 90.00 90.00 120.00
Space group R-3m (No. 166, hexagonal axes)
One atom of each set of equivalent atoms:
Ac (0.0000, 0.0000, 0.0000)
Ga (0.0000, 0.0000, 0.1316)
Ga (0.0000, 0.0000, 0.4067)
Cu (0.0000, 0.0000, 0.5000)
Pd (0.0000, 0.0000, 0.2302)